[1]
## ThBC2 (GGA-PBE)

Data for an optimized crystal structure of ThBC2.

Values from the calculation:
N(E_F)   0.825 states/eV/atom
Calculated formation energy   0.1832 eV/atom

```
data_ThBC2
_chemical_formula_sum 'Th1 B1 C2'
_symmetry_space_group_name_H-M 'P 1'
_symmetry_Int_Tables_number 1
_cell_length_a 3.958
_cell_length_b 3.958
_cell_length_c 5.570
_cell_angle_alpha 69.19
_cell_angle_beta 69.19
_cell_angle_gamma 60.00
loop_
_symmetry_equiv_pos_as_xyz
'x,y,z'
loop_
_atom_site_label
_atom_site_type_symbol
_atom_site_fract_x
_atom_site_fract_y
_atom_site_fract_z
C1 C 0.094 0.094 0.717
C2 C 0.906 0.906 0.283
B1 B 0.000 0.000 0.000
Th1 Th 0.500 0.500 0.500
```


[2]
## CaInAs2Se (GGA-PBE)

Data for an optimized crystal structure of CaInAs2Se.

Values from the calculation:
N(E_F)   1.103 states/eV/atom
Total DFT energy (no corrections)   -3.16 eV per atom

```
data_CaInAs2Se
_chemical_formula_sum 'Ca1 In1 As2 Se1'
_symmetry_space_group_name_H-M 'P 1'
_symmetry_Int_Tables_number 1
_cell_length_a 5.572
_cell_length_b 5.572
_cell_length_c 5.503
_cell_angle_alpha 90.00
_cell_angle_beta 90.00
_cell_angle_gamma 90.00
loop_
_symmetry_equiv_pos_as_xyz
'x,y,z'
loop_
_atom_site_label
_atom_site_type_symbol
_atom_site_fract_x
_atom_site_fract_y
_atom_site_fract_z
As1 As 0.000 0.500 0.000
As2 As 0.500 0.000 0.000
Ca1 Ca 0.000 0.000 0.000
Se1 Se 0.000 0.000 0.500
In1 In 0.500 0.500 0.500
```


[3]
## MgTi2B (GGA-PBE)

Data for an optimized crystal structure of MgTi2B.

Values from the calculation:
N(E_F)   1.026 states/eV/atom
Calculated formation energy   0.3401 eV/atom

```
data_MgTi2B
_chemical_formula_sum 'Mg1 Ti2 B1'
_symmetry_space_group_name_H-M 'P 1'
_symmetry_Int_Tables_number 1
_cell_length_a 4.287
_cell_length_b 4.287
_cell_length_c 4.287
_cell_angle_alpha 60.00
_cell_angle_beta 60.00
_cell_angle_gamma 60.00
loop_
_symmetry_equiv_pos_as_xyz
'x,y,z'
loop_
_atom_site_label
_atom_site_type_symbol
_atom_site_fract_x
_atom_site_fract_y
_atom_site_fract_z
Mg1 Mg 0.500 0.500 0.500
B1 B 0.000 0.000 0.000
Ti1 Ti 0.250 0.250 0.250
Ti2 Ti 0.750 0.750 0.750
```


[4]
## Hf6Mn2Ga (GGA-PBE)

Data for an optimized crystal structure of Hf6Mn2Ga.

Values from the calculation:
N(E_F)   0.651 states/eV/atom
Calculated formation energy   -0.1588 eV/atom

```
data_Hf6Mn2Ga
_chemical_formula_sum 'Hf12 Mn4 Ga2'
_symmetry_space_group_name_H-M 'P 1'
_symmetry_Int_Tables_number 1
_cell_length_a 7.680
_cell_length_b 7.680
_cell_length_c 7.680
_cell_angle_alpha 104.80
_cell_angle_beta 112.22
_cell_angle_gamma 111.49
loop_
_symmetry_equiv_pos_as_xyz
'x,y,z'
loop_
_atom_site_label
_atom_site_type_symbol
_atom_site_fract_x
_atom_site_fract_y
_atom_site_fract_z
Hf1 Hf 0.531 0.722 0.809
Hf2 Hf 0.469 0.278 0.191
Hf3 Hf 0.087 0.278 0.809
Hf4 Hf 0.913 0.722 0.191
Hf5 Hf 0.798 0.757 0.555
Hf6 Hf 0.202 0.243 0.445
Hf7 Hf 0.202 0.757 0.959
Hf8 Hf 0.798 0.243 0.041
Hf9 Hf 0.689 0.365 0.676
Hf10 Hf 0.311 0.635 0.324
Hf11 Hf 0.311 0.987 0.676
Hf12 Hf 0.689 0.013 0.324
Mn1 Mn 0.500 0.389 0.889
Mn2 Mn 0.500 0.611 0.111
Mn3 Mn 0.672 0.000 0.672
Mn4 Mn 0.328 0.000 0.328
Ga1 Ga 0.000 0.500 0.500
Ga2 Ga 0.000 0.000 0.000
```


[5]
## Tl3Cr2Te6Pd (GGA-PBE)

Data for an optimized crystal structure of Tl3Cr2Te6Pd.

Values from the calculation:
N(E_F)   0.564 states/eV/atom
Total DFT energy (no corrections)   -4.43 eV per atom

```
data_Tl3Cr2Te6Pd
_chemical_formula_sum 'Tl3 Cr2 Te6 Pd1'
_symmetry_space_group_name_H-M 'P 1'
_symmetry_Int_Tables_number 1
_cell_length_a 7.152
_cell_length_b 7.152
_cell_length_c 8.047
_cell_angle_alpha 98.42
_cell_angle_beta 98.42
_cell_angle_gamma 119.97
loop_
_symmetry_equiv_pos_as_xyz
'x,y,z'
loop_
_atom_site_label
_atom_site_type_symbol
_atom_site_fract_x
_atom_site_fract_y
_atom_site_fract_z
Tl1 Tl 0.170 0.830 0.500
Tl2 Tl 0.830 0.170 0.500
Tl3 Tl 0.500 0.500 0.500
Cr1 Cr 0.333 0.667 0.000
Cr2 Cr 0.667 0.333 0.000
Te1 Te 0.939 0.605 0.816
Te2 Te 0.727 0.727 0.187
Te3 Te 0.061 0.395 0.184
Te4 Te 0.605 0.939 0.816
Te5 Te 0.273 0.273 0.813
Te6 Te 0.395 0.061 0.184
Pd1 Pd 0.000 0.000 0.000
```


[6]
## ThSc4Se6 (GGA-PBE)

Data for an optimized crystal structure of ThSc4Se6.

Values from the calculation:
N(E_F)   0.508 states/eV/atom
Total DFT energy (no corrections)   -6.53 eV per atom

```
data_ThSc4Se6
_chemical_formula_sum 'Th2 Sc8 Se12'
_symmetry_space_group_name_H-M 'P 1'
_symmetry_Int_Tables_number 1
_cell_length_a 3.903
_cell_length_b 6.684
_cell_length_c 19.759
_cell_angle_alpha 90.00
_cell_angle_beta 90.00
_cell_angle_gamma 106.97
loop_
_symmetry_equiv_pos_as_xyz
'x,y,z'
loop_
_atom_site_label
_atom_site_type_symbol
_atom_site_fract_x
_atom_site_fract_y
_atom_site_fract_z
Th1 Th 0.655 0.310 0.250
Th2 Th 0.345 0.690 0.750
Sc1 Sc 0.859 0.718 0.536
Sc2 Sc 0.408 0.817 0.121
Sc3 Sc 0.141 0.282 0.464
Sc4 Sc 0.592 0.183 0.879
Sc5 Sc 0.859 0.718 0.964
Sc6 Sc 0.141 0.282 0.036
Sc7 Sc 0.592 0.183 0.621
Sc8 Sc 0.408 0.817 0.379
Se1 Se 0.500 0.000 0.000
Se2 Se 0.500 0.000 0.500
Se3 Se 0.044 0.088 0.339
Se4 Se 0.956 0.912 0.661
Se5 Se 0.956 0.912 0.839
Se6 Se 0.044 0.088 0.161
Se7 Se 0.765 0.529 0.409
Se8 Se 0.235 0.471 0.591
Se9 Se 0.235 0.471 0.909
Se10 Se 0.765 0.529 0.091
Se11 Se 0.326 0.652 0.250
Se12 Se 0.674 0.348 0.750
```


[7]
## La8As3AuI4 (GGA-PBE)

Data for an optimized crystal structure of La8As3AuI4.

Values from the calculation:
N(E_F)   0.769 states/eV/atom
Total DFT energy (no corrections)   -5.19 eV per atom

```
data_La8As3AuI4
_chemical_formula_sum 'La8 As3 Au1 I4'
_symmetry_space_group_name_H-M 'P 1'
_symmetry_Int_Tables_number 1
_cell_length_a 8.870
_cell_length_b 9.205
_cell_length_c 8.870
_cell_angle_alpha 118.81
_cell_angle_beta 120.00
_cell_angle_gamma 90.00
loop_
_symmetry_equiv_pos_as_xyz
'x,y,z'
loop_
_atom_site_label
_atom_site_type_symbol
_atom_site_fract_x
_atom_site_fract_y
_atom_site_fract_z
La1 La 0.238 0.709 0.971
La2 La 0.238 0.709 0.476
La3 La 0.265 0.296 0.531
La4 La 0.733 0.709 0.971
La5 La 0.267 0.291 0.029
La6 La 0.735 0.704 0.469
La7 La 0.762 0.291 0.524
La8 La 0.762 0.291 0.029
As1 As 0.500 0.500 0.000
As2 As 0.500 0.500 0.500
As3 As 0.000 0.500 0.500
Au1 Au 0.000 0.500 0.000
I1 I 0.500 0.000 0.000
I2 I 0.500 0.000 0.500
I3 I 0.000 0.000 0.000
I4 I 0.000 0.000 0.500
```


[8]
## TeSN2F (GGA-PBE)

Data for an optimized crystal structure of TeSN2F.

Values from the calculation:
N(E_F)   0.374 states/eV/atom
Total DFT energy (no corrections)   -3.98 eV per atom

```
data_TeSN2F
_chemical_formula_sum 'Te1 S1 N2 F1'
_symmetry_space_group_name_H-M 'P 1'
_symmetry_Int_Tables_number 1
_cell_length_a 3.895
_cell_length_b 3.895
_cell_length_c 4.011
_cell_angle_alpha 90.00
_cell_angle_beta 90.00
_cell_angle_gamma 90.00
loop_
_symmetry_equiv_pos_as_xyz
'x,y,z'
loop_
_atom_site_label
_atom_site_type_symbol
_atom_site_fract_x
_atom_site_fract_y
_atom_site_fract_z
N1 N 0.000 0.500 0.000
N2 N 0.500 0.000 0.000
S1 S 0.000 0.000 0.000
Te1 Te 0.500 0.500 0.500
F1 F 0.000 0.000 0.500
```


[9]
## BaIn2Cu2 (GGA-PBE)

Data for an optimized crystal structure of BaIn2Cu2.

Values from the calculation:
N(E_F)   0.596 states/eV/atom
Calculated formation energy   -0.1655 eV/atom

```
data_BaIn2Cu2
_chemical_formula_sum 'Ba1 In2 Cu2'
_symmetry_space_group_name_H-M 'P 1'
_symmetry_Int_Tables_number 1
_cell_length_a 4.899
_cell_length_b 4.899
_cell_length_c 6.267
_cell_angle_alpha 66.99
_cell_angle_beta 66.99
_cell_angle_gamma 90.00
loop_
_symmetry_equiv_pos_as_xyz
'x,y,z'
loop_
_atom_site_label
_atom_site_type_symbol
_atom_site_fract_x
_atom_site_fract_y
_atom_site_fract_z
Ba1 Ba 0.000 0.000 0.000
Cu1 Cu 0.750 0.250 0.500
Cu2 Cu 0.250 0.750 0.500
In1 In 0.356 0.356 0.288
In2 In 0.644 0.644 0.712
```


[10]
## K3CeSm2O6 (GGA-PBE)

Data for an optimized crystal structure of K3CeSm2O6.

Values from the calculation:
N(E_F)   0.211 states/eV/atom
Total DFT energy (no corrections)   -6.67 eV per atom

```
data_K3CeSm2O6
_chemical_formula_sum 'K3 Ce1 Sm2 O6'
_symmetry_space_group_name_H-M 'P 1'
_symmetry_Int_Tables_number 1
_cell_length_a 6.248
_cell_length_b 6.248
_cell_length_c 6.627
_cell_angle_alpha 99.04
_cell_angle_beta 99.04
_cell_angle_gamma 120.00
loop_
_symmetry_equiv_pos_as_xyz
'x,y,z'
loop_
_atom_site_label
_atom_site_type_symbol
_atom_site_fract_x
_atom_site_fract_y
_atom_site_fract_z
K1 K 0.167 0.833 0.500
K2 K 0.833 0.167 0.500
K3 K 0.500 0.500 0.500
Ce1 Ce 0.000 0.000 0.000
Sm1 Sm 0.333 0.667 0.000
Sm2 Sm 0.667 0.333 0.000
O1 O 0.937 0.602 0.811
O2 O 0.728 0.728 0.189
O3 O 0.063 0.398 0.189
O4 O 0.602 0.937 0.811
O5 O 0.272 0.272 0.811
O6 O 0.398 0.063 0.189
```